Computed, not measured: crystalline AlCr2SeCl at its relaxed geometry at the PBE level of DFT.

Geometry as CIF:
```
data_AlCr2SeCl
_space_group_name_H-M_alt 'P 1'
_space_group_IT_number 1
_cell_length_a 4.428
_cell_length_b 6.310
_cell_length_c 4.428
_cell_angle_alpha 90.00
_cell_angle_beta 90.00
_cell_angle_gamma 90.00
loop_
_space_group_symop_operation_xyz
'x,y,z'
loop_
_atom_site_label
_atom_site_type_symbol
_atom_site_fract_x
_atom_site_fract_y
_atom_site_fract_z
_atom_site_occupancy
Cr1 Cr 0.000 0.000 0.500 1
Cr2 Cr 0.500 0.000 0.000 1
Cl1 Cl 0.000 0.000 0.000 1
Se1 Se 0.000 0.500 0.000 1
Al1 Al 0.500 0.500 0.500 1
```

Output
- theoretical density (kg/m³) = 3293
- SG = P4/mmm (123)
- V (Å³ per atom) = 24.7
- formation energy from raw total energies (meV/atom) = 788.9
- size of the total moment (Bohr magnetons per cell) = 8.3

***

Computed, not measured: crystalline KTaBr2 at its relaxed geometry at the PBE level of DFT.

Geometry as CIF:
```
data_KTaBr2
_space_group_name_H-M_alt 'P 1'
_space_group_IT_number 1
_cell_length_a 6.892
_cell_length_b 6.892
_cell_length_c 6.357
_cell_angle_alpha 65.83
_cell_angle_beta 65.83
_cell_angle_gamma 28.51
loop_
_space_group_symop_operation_xyz
'x,y,z'
loop_
_atom_site_label
_atom_site_type_symbol
_atom_site_fract_x
_atom_site_fract_y
_atom_site_fract_z
_atom_site_occupancy
K1 K 0.556 0.556 0.489 1
Br1 Br 0.921 0.921 0.143 1
Ta1 Ta 0.300 0.300 0.038 1
Br2 Br 0.723 0.723 0.830 1
```

Output
- distance to the lowest polymorph of the same formula (meV per atom) = 66
- theoretical density (kg/m³) = 4828
- SG = Cm (8)
- V (Å³ per atom) = 32.7
- formation energy from raw total energies (meV/atom) = -66.5
- size of the total moment (Bohr magnetons per cell) = 0.9